The following is a GGA-PBE calculation of a relaxed ErCu4Ge crystal, from the Alexandria database.

Cell lengths 5.051, 5.051, 5.051 Å; angles 60.00, 60.00, 60.00 degrees
Sites, in units of the cell vectors:
Er  0.000  0.000  0.000
Cu  0.375  0.375  0.375
Cu  0.375  0.375  0.875
Cu  0.375  0.875  0.375
Cu  0.875  0.375  0.375
Ge  0.750  0.750  0.750

Results
- Energy relative to the elements: -0.184 eV per atom
- DOS(E_F): 4.2 states/eV per cell
- Crystal system: cubic
- Magnetic moment: 0.00 μB/cell
- Space group: F-43m, No. 216

***

The following is a GGA-PBE calculation of a relaxed Sc2Al2Ag crystal, from the Alexandria database.

Cell lengths 5.594, 5.594, 9.277 Å; angles 110.08, 110.08, 47.51 degrees
Sites, in units of the cell vectors:
Sc  0.029  0.029  0.341
Sc  0.165  0.165  0.079
Sc  0.835  0.835  0.921
Sc  0.971  0.971  0.659
Al  0.367  0.367  0.409
Al  0.471  0.471  0.131
Al  0.529  0.529  0.869
Al  0.633  0.633  0.591
Ag  0.269  0.269  0.663
Ag  0.731  0.731  0.337

Results
- E above lowest polymorph: 0.08 eV/f.u.
- Energy relative to the elements: -0.363 eV per atom
- DOS(E_F): 7.1 states/eV per cell
- Crystal system: monoclinic
- Magnetic moment: 0.00 μB/cell
- Space group: C2/m, No. 12

***

The following is a GGA-PBE calculation of a relaxed ReOs3 crystal, from the Alexandria database.

Cell lengths 9.069, 9.069, 9.069 Å; angles 17.37, 17.37, 17.37 degrees
Sites, in units of the cell vectors:
Re  0.000  0.000  0.000
Os  0.250  0.250  0.250
Os  0.500  0.500  0.500
Os  0.750  0.750  0.750

Results
- E above lowest polymorph: 0.79 eV/f.u.
- Energy relative to the elements: 0.113 eV per atom
- DOS(E_F): 3.2 states/eV per cell
- Crystal system: trigonal
- Magnetic moment: 0.00 μB/cell
- Space group: R-3m, No. 166

***

The following is a GGA-PBE calculation of a relaxed CsMnCo2Cl8 crystal, from the Alexandria database.

Cell lengths 10.410, 10.410, 10.410 Å; angles 35.74, 35.74, 35.74 degrees
Sites, in units of the cell vectors:
Cs  0.000  0.000  0.000
Mn  0.500  0.500  0.500
Co  0.240  0.240  0.240
Co  0.760  0.760  0.760
Cl  0.125  0.768  0.454
Cl  0.232  0.546  0.875
Cl  0.315  0.315  0.315
Cl  0.454  0.125  0.768
Cl  0.546  0.875  0.232
Cl  0.685  0.685  0.685
Cl  0.768  0.454  0.125
Cl  0.875  0.232  0.546

Results
- DOS(E_F): 20.1 states/eV per cell
- Uncorrected formation energy: -11.05 eV per formula unit
- Crystal system: trigonal
- Magnetic moment: 11.60 μB/cell
- Space group: R-3, No. 148

***

The following is a GGA-PBE calculation of a relaxed HfTa2Sn crystal, from the Alexandria database.

Cell lengths 4.443, 3.641, 10.264 Å; angles 90.00, 100.84, 90.00 degrees
Sites, in units of the cell vectors:
Hf  0.164  0.250  0.383
Hf  0.836  0.750  0.617
Ta  0.052  0.750  0.117
Ta  0.452  0.750  0.892
Ta  0.548  0.250  0.108
Ta  0.948  0.250  0.883
Sn  0.359  0.250  0.672
Sn  0.641  0.750  0.328

Results
- Energy relative to the elements: -0.143 eV per atom
- DOS(E_F): 7.5 states/eV per cell
- Crystal system: monoclinic
- Magnetic moment: 0.00 μB/cell
- Space group: P2_1/m, No. 11

***

The following is a GGA-PBE calculation of a relaxed PaRh4Pb crystal, from the Alexandria database.

Cell lengths 5.329, 5.329, 5.329 Å; angles 60.00, 60.00, 60.00 degrees
Sites, in units of the cell vectors:
Pa  0.000  0.000  0.000
Rh  0.376  0.376  0.376
Rh  0.376  0.376  0.873
Rh  0.376  0.873  0.376
Rh  0.873  0.376  0.376
Pb  0.750  0.750  0.750

Results
- Energy relative to the elements: -0.424 eV per atom
- DOS(E_F): 5.5 states/eV per cell
- Crystal system: cubic
- Magnetic moment: 0.00 μB/cell
- Space group: F-43m, No. 216

***

The following is a GGA-PBE calculation of a relaxed MnTc3Cl crystal, from the Alexandria database.

Cell lengths 4.510, 4.510, 4.510 Å; angles 90.00, 90.00, 90.00 degrees
Sites, in units of the cell vectors:
Mn  0.000  0.000  0.000
Tc  0.000  0.000  0.500
Tc  0.000  0.500  0.000
Tc  0.500  0.000  0.000
Cl  0.500  0.500  0.500

Results
- E above lowest polymorph: 2.49 eV/f.u.
- DOS(E_F): 5.9 states/eV per cell
- Uncorrected formation energy: 7.79 eV per formula unit
- Crystal system: cubic
- Magnetic moment: 3.29 μB/cell
- Space group: Pm-3m, No. 221

***

The following is a GGA-PBE calculation of a relaxed LiTbDySb crystal, from the Alexandria database.

Cell lengths 5.205, 5.205, 5.205 Å; angles 60.00, 60.00, 60.00 degrees
Sites, in units of the cell vectors:
Li  0.000  0.000  0.000
Tb  0.250  0.250  0.250
Dy  0.750  0.750  0.750
Sb  0.500  0.500  0.500

Results
- DOS(E_F): 3.0 states/eV per cell
- Uncorrected formation energy: -1.78 eV per formula unit
- Crystal system: cubic
- Magnetic moment: 0.00 μB/cell
- Space group: F-43m, No. 216

***

The following is a GGA-PBE calculation of a relaxed Pm3Nd2SmN6 crystal, from the Alexandria database.

Cell lengths 8.099, 8.099, 7.247 Å; angles 102.93, 102.93, 25.86 degrees
Sites, in units of the cell vectors:
Pm  0.000  0.000  0.000
Pm  0.334  0.334  0.666
Pm  0.666  0.666  0.334
Nd  0.334  0.334  0.168
Nd  0.666  0.666  0.832
Sm  0.000  0.000  0.500
N  0.166  0.166  0.085
N  0.166  0.166  0.581
N  0.499  0.499  0.748
N  0.501  0.501  0.252
N  0.834  0.834  0.419
N  0.834  0.834  0.915

Results
- DOS(E_F): 1.3 states/eV per cell
- Uncorrected formation energy: -17.00 eV per formula unit
- Crystal system: monoclinic
- Magnetic moment: 0.00 μB/cell
- Space group: C2/m, No. 12

***

The following is a GGA-PBE calculation of a relaxed GdTmNiAu crystal, from the Alexandria database.

Cell lengths 4.950, 4.950, 4.950 Å; angles 60.00, 60.00, 60.00 degrees
Sites, in units of the cell vectors:
Gd  0.000  0.000  0.000
Tm  0.500  0.500  0.500
Ni  0.750  0.750  0.750
Au  0.250  0.250  0.250

Results
- Energy relative to the elements: -0.584 eV per atom
- DOS(E_F): 3.2 states/eV per cell
- Crystal system: cubic
- Magnetic moment: 7.15 μB/cell
- Space group: F-43m, No. 216

***

The following is a GGA-PBE calculation of a relaxed Mn3AlH crystal, from the Alexandria database.

Cell lengths 6.872, 4.267, 9.084 Å; angles 90.00, 131.04, 90.00 degrees
Sites, in units of the cell vectors:
Mn  0.004  0.244  0.422
Mn  0.004  0.256  0.922
Mn  0.252  0.734  0.958
Mn  0.252  0.766  0.458
Mn  0.493  0.243  0.666
Mn  0.493  0.257  0.166
Mn  0.507  0.743  0.834
Mn  0.507  0.757  0.334
Mn  0.748  0.234  0.542
Mn  0.748  0.266  0.042
Mn  0.996  0.744  0.078
Mn  0.996  0.756  0.578
Al  0.249  0.234  0.798
Al  0.249  0.266  0.298
Al  0.751  0.734  0.702
Al  0.751  0.766  0.202
H  0.249  0.525  0.609
H  0.249  0.975  0.109
H  0.751  0.025  0.891
H  0.751  0.475  0.391

Results
- DOS(E_F): 19.9 states/eV per cell
- Crystal system: monoclinic
- Magnetic moment: 17.58 μB/cell
- Space group: P2_1/c, No. 14
- Raw total energy: -0.51114 Ry per atom

***

The following is a GGA-PBE calculation of a relaxed KSr3Ir crystal, from the Alexandria database.

Cell lengths 7.756, 22.364, 5.826 Å; angles 90.00, 90.00, 90.00 degrees
Sites, in units of the cell vectors:
K  0.000  0.000  0.000
K  0.000  0.500  0.000
K  0.500  0.000  0.500
K  0.500  0.500  0.500
Sr  0.097  0.156  0.365
Sr  0.097  0.344  0.365
Sr  0.221  0.250  0.873
Sr  0.279  0.750  0.373
Sr  0.403  0.656  0.865
Sr  0.403  0.844  0.865
Sr  0.597  0.156  0.135
Sr  0.597  0.344  0.135
Sr  0.721  0.250  0.627
Sr  0.779  0.750  0.127
Sr  0.903  0.656  0.635
Sr  0.903  0.844  0.635
Ir  0.129  0.750  0.862
Ir  0.371  0.250  0.362
Ir  0.629  0.750  0.638
Ir  0.871  0.250  0.138

Results
- E above lowest polymorph: 0.50 eV/f.u.
- Energy relative to the elements: -0.001 eV per atom
- DOS(E_F): 13.8 states/eV per cell
- Crystal system: orthorhombic
- Magnetic moment: 0.00 μB/cell
- Space group: Pnma, No. 62

***

- magnetic moment of number 4 (CsMnCo2Cl8)?
  11.60 μB/cell